No. 1
Density functional theory data (PBE-GGA) for a relaxed HgGeRu2I crystal.

Cell: 4.8378 4.8378 5.6215 Å, 90.00 90.00 90.00°
Last column: nearest neighbours and their distance in Å.
Space group P4/mmm (No. 123)
Unique sites:
Hg 0.0000 0.0000 0.0000  2 I 2.81
Ge 0.5000 0.5000 0.0000  4 Hg 3.42, 8 Ru 3.71
Ru 0.0000 0.5000 0.5000  2 I 2.42
I 0.0000 0.0000 0.5000  4 Ru 2.42

Properties
- ΔE_f (raw) (kJ/mol of atoms) = 162

No. 2
Density functional theory data (PBE-GGA) for a relaxed HgGeSbI6 crystal.

Cell: 7.5751 13.1325 7.4809 Å, 90.00 90.06 90.00°
Last column: nearest neighbours and their distance in Å.
Space group C2 (No. 5)
Unique sites:
Hg 0.0000 0.0000 0.0000  6 I 3.30
Ge 0.0000 0.6667 0.5000  6 I 3.02
Sb 0.0000 0.3333 0.5000  6 I 3.05
I 0.1504 0.5016 0.2631  1 Ge 3.02, 1 Sb 3.05, 1 Hg 3.30
I 0.1722 0.8241 0.2624  1 Ge 3.02, 1 Sb 3.05, 1 Hg 3.30
I 0.1771 0.1741 0.2625  1 Ge 3.02, 1 Sb 3.05, 1 Hg 3.30

Properties
- ΔE_f (raw) (kJ/mol of atoms) = -23

No. 3
Density functional theory data (PBE-GGA) for a relaxed HgGeSeI crystal.

Cell: 4.0317 4.1770 8.9566 Å, 87.24 87.85 68.03°
Last column: nearest neighbours and their distance in Å.
Space group P1 (No. 1)
Unique sites:
Hg 0.0000 0.0000 0.0000  1 Ge 2.60
Ge 0.9901 0.9710 0.2906  3 Se 2.58-2.64, 1 Hg 2.60
Se 0.3417 0.3252 0.3826  3 Ge 2.58-2.64
I 0.6608 0.6470 0.8042  3 Hg 3.01-3.05

Properties
- ΔE_f (raw) (kJ/mol of atoms) = -11

No. 4
Density functional theory data (PBE-GGA) for a relaxed Sn2HgGeI crystal.

Cell: 5.9467 5.9467 5.5355 Å, 90.00 90.00 90.00°
Last column: nearest neighbours and their distance in Å.
Space group P4/mmm (No. 123)
Unique sites:
Sn 0.0000 0.5000 0.0000  2 I 2.97
Hg 0.0000 0.0000 0.5000  8 Sn 4.06, 4 Ge 4.20
Ge 0.5000 0.5000 0.5000  2 I 2.77
I 0.5000 0.5000 0.0000  2 Ge 2.77, 4 Sn 2.97

Properties
- ΔE_f (raw) (kJ/mol of atoms) = 85

No. 5
Density functional theory data (PBE-GGA) for a relaxed HgGeTeI2 crystal.

Cell: 5.7782 5.7782 5.7912 Å, 90.00 90.00 90.00°
Last column: nearest neighbours and their distance in Å.
Space group P4/mmm (No. 123)
Unique sites:
Hg 0.0000 0.0000 0.0000  4 I 2.89, 2 Te 2.90
Ge 0.5000 0.5000 0.5000  4 Te 4.09, 8 I 4.09
Te 0.0000 0.0000 0.5000  2 Hg 2.90
I 0.0000 0.5000 0.0000  2 Hg 2.89

Properties
- ΔE_f (raw) (kJ/mol of atoms) = 52
- energy above the lowest structure with this stoichiometry (eV per atom) = 0.391

No. 6
Density functional theory data (PBE-GGA) for a relaxed HgGeTeI2 crystal.

Cell: 5.7527 5.7527 5.5675 Å, 90.00 90.00 90.00°
Last column: nearest neighbours and their distance in Å.
Space group P4/mmm (No. 123)
Unique sites:
Hg 0.0000 0.0000 0.0000  8 I 4.00, 4 Te 4.07
Ge 0.5000 0.5000 0.5000  2 Te 2.78, 4 I 2.88
Te 0.5000 0.5000 0.0000  2 Ge 2.78
I 0.0000 0.5000 0.5000  2 Ge 2.88

Properties
- ΔE_f (raw) (kJ/mol of atoms) = 14
- energy above the lowest structure with this stoichiometry (eV per atom) = 0.000

Sequential raw total energy output: -3.321 -2.275 -2.599 -2.010 -1.691 -2.082 eV/atom